[1]
## Ac4TlPt2 (PBE)

Data for crystalline Ac4TlPt2 at its relaxed geometry.

a = 10.108 Å, b = 8.773 Å, c = 8.754 Å
α = 70.44°, β = 54.87°, γ = 54.69°
Atoms (fractional coordinates):
Ac: 0.150 0.285 0.286
Ac: 0.221 0.714 0.715
Ac: 0.285 0.150 0.779
Ac: 0.286 0.779 0.150
Ac: 0.714 0.221 0.850
Ac: 0.715 0.850 0.221
Ac: 0.779 0.286 0.285
Ac: 0.850 0.715 0.714
Tl: 0.375 0.375 0.375
Tl: 0.625 0.625 0.625
Pt: 0.000 0.000 0.000
Pt: 0.000 0.000 0.500
Pt: 0.000 0.500 0.000
Pt: 0.500 0.000 0.000

Summary:
energy above the lowest structure with this stoichiometry	7.74	kJ per mole of atoms
electronic total energy	-5.129	eV/atom
total moment	0.00	μB per cell
volume	518.08	Å³/cell
formation enthalpy at 0 K	-5.021	eV/f.u.

[2]
## CaPm12Y2 (PBE)

Data for crystalline CaPm12Y2 at its relaxed geometry.

a = 6.825 Å, b = 6.825 Å, c = 25.072 Å
α = 92.35°, β = 92.35°, γ = 115.65°
Atoms (fractional coordinates):
Ca: 0.250 0.250 0.002
Ca: 0.750 0.750 0.998
Pm: 0.043 0.553 0.204
Pm: 0.086 0.576 0.330
Pm: 0.126 0.648 0.555
Pm: 0.152 0.152 0.575
Pm: 0.219 0.219 0.860
Pm: 0.236 0.736 0.921
Pm: 0.264 0.764 0.079
Pm: 0.280 0.280 0.145
Pm: 0.352 0.874 0.445
Pm: 0.370 0.370 0.424
Pm: 0.424 0.914 0.670
Pm: 0.447 0.957 0.796
Pm: 0.553 0.043 0.204
Pm: 0.576 0.086 0.330
Pm: 0.630 0.630 0.576
Pm: 0.648 0.126 0.555
Pm: 0.720 0.720 0.855
Pm: 0.736 0.236 0.921
Pm: 0.764 0.264 0.079
Pm: 0.781 0.781 0.140
Pm: 0.848 0.848 0.425
Pm: 0.874 0.352 0.445
Pm: 0.914 0.424 0.670
Pm: 0.957 0.447 0.796
Y: 0.064 0.064 0.277
Y: 0.430 0.430 0.725
Y: 0.570 0.570 0.275
Y: 0.936 0.936 0.723

Summary:
electronic total energy	-4.692	eV/atom
total moment	0.02	μB per cell
volume	1049.53	Å³/cell
formation enthalpy at 0 K	1.564	eV/f.u.

[3]
## Nd5Y2Er (PBE)

Data for crystalline Nd5Y2Er at its relaxed geometry.

a = 7.261 Å, b = 14.532 Å, c = 5.137 Å
α = 90.00°, β = 90.00°, γ = 90.00°
Atoms (fractional coordinates):
Nd: 0.000 0.000 0.000
Nd: 0.001 0.252 0.000
Nd: 0.248 0.624 0.500
Nd: 0.252 0.124 0.500
Nd: 0.499 0.752 0.000
Nd: 0.500 0.500 0.000
Nd: 0.501 0.248 0.000
Nd: 0.748 0.876 0.500
Nd: 0.752 0.376 0.500
Nd: 0.999 0.748 0.000
Y: 0.250 0.376 0.500
Y: 0.250 0.876 0.500
Y: 0.750 0.124 0.500
Y: 0.750 0.624 0.500
Er: 0.000 0.500 0.000
Er: 0.500 0.000 0.000

Summary:
electronic total energy	-5.151	eV/atom
total moment	0.00	μB per cell
volume	542.01	Å³/cell
formation enthalpy at 0 K	0.126	eV/f.u.

[4]
## LaZnCd (PBE)

Data for crystalline LaZnCd at its relaxed geometry.

a = 6.914 Å, b = 6.914 Å, c = 6.914 Å
α = 90.00°, β = 90.00°, γ = 90.00°
Atoms (fractional coordinates):
La: 0.000 0.000 0.000
La: 0.000 0.500 0.500
La: 0.500 0.000 0.500
La: 0.500 0.500 0.000
Zn: 0.250 0.250 0.250
Zn: 0.250 0.750 0.750
Zn: 0.750 0.250 0.750
Zn: 0.750 0.750 0.250
Cd: 0.000 0.000 0.500
Cd: 0.000 0.500 0.000
Cd: 0.500 0.000 0.000
Cd: 0.500 0.500 0.500

Summary:
electronic total energy	-2.601	eV/atom
total moment	0.00	μB per cell
volume	330.45	Å³/cell
formation enthalpy at 0 K	-0.688	eV/f.u.

[5]
## Sb2HPdI (PBE)

Data for crystalline Sb2HPdI at its relaxed geometry.

a = 5.183 Å, b = 5.183 Å, c = 5.903 Å
α = 90.00°, β = 90.00°, γ = 90.00°
Atoms (fractional coordinates):
Sb: 0.000 0.500 0.000
Sb: 0.500 0.000 0.000
H: 0.000 0.000 0.500
Pd: 0.500 0.500 0.000
I: 0.500 0.500 0.500

Summary:
energy above the lowest structure with this stoichiometry	17.60	kJ per mole of atoms
electronic total energy	-2.951	eV/atom
total moment	1.03	μB per cell
volume	158.59	Å³/cell

[6]
## Pm2NdUSb4 (PBE)

Data for crystalline Pm2NdUSb4 at its relaxed geometry.

a = 6.323 Å, b = 6.323 Å, c = 12.646 Å
α = 90.00°, β = 90.00°, γ = 90.00°
Atoms (fractional coordinates):
Pm: 0.000 0.000 0.000
Pm: 0.000 0.500 0.250
Pm: 0.500 0.000 0.750
Pm: 0.500 0.500 0.500
Nd: 0.000 0.500 0.750
Nd: 0.500 0.000 0.250
U: 0.000 0.000 0.500
U: 0.500 0.500 0.000
Sb: 0.000 0.000 0.255
Sb: 0.000 0.000 0.745
Sb: 0.000 0.500 0.001
Sb: 0.000 0.500 0.499
Sb: 0.500 0.000 0.501
Sb: 0.500 0.000 0.999
Sb: 0.500 0.500 0.245
Sb: 0.500 0.500 0.755

Summary:
electronic total energy	-6.185	eV/atom
total moment	5.41	μB per cell
volume	505.53	Å³/cell
E_form (uncorrected)	-0.93	eV/atom

[7]
## MgPd (PBE)

Data for crystalline MgPd at its relaxed geometry.

a = 5.290 Å, b = 5.290 Å, c = 5.290 Å
α = 90.00°, β = 90.00°, γ = 90.00°
Atoms (fractional coordinates):
Mg: 0.000 0.000 0.000
Mg: 0.000 0.500 0.500
Mg: 0.500 0.000 0.500
Mg: 0.500 0.500 0.000
Pd: 0.000 0.000 0.500
Pd: 0.000 0.500 0.000
Pd: 0.500 0.000 0.000
Pd: 0.500 0.500 0.500

Summary:
electronic total energy	-3.701	eV/atom
total moment	0.00	μB per cell
volume	148.02	Å³/cell
formation enthalpy at 0 K	-0.614	eV/f.u.

[8]
## NaVSeN2 (PBE)

Data for crystalline NaVSeN2 at its relaxed geometry.

a = 3.833 Å, b = 3.833 Å, c = 5.161 Å
α = 90.00°, β = 90.00°, γ = 90.00°
Atoms (fractional coordinates):
Na: 0.000 0.000 0.000
V: 0.500 0.500 0.500
Se: 0.500 0.500 0.000
N: 0.000 0.500 0.500
N: 0.500 0.000 0.500

Summary:
energy above the lowest structure with this stoichiometry	0.00	kJ per mole of atoms
electronic total energy	-6.062	eV/atom
total moment	1.04	μB per cell
volume	75.83	Å³/cell
E_form (uncorrected)	0.05	eV/atom

[9]
## MgBe2GeBi (PBE)

Data for crystalline MgBe2GeBi at its relaxed geometry.

a = 4.675 Å, b = 4.675 Å, c = 5.005 Å
α = 90.00°, β = 90.00°, γ = 90.00°
Atoms (fractional coordinates):
Mg: 0.000 0.000 0.000
Be: 0.000 0.500 0.000
Be: 0.500 0.000 0.000
Ge: 0.000 0.000 0.500
Bi: 0.500 0.500 0.500

Summary:
electronic total energy	-2.407	eV/atom
total moment	0.00	μB per cell
volume	109.38	Å³/cell
formation enthalpy at 0 K	5.510	eV/f.u.

[10]
## ErSc2Al (PBE)

Data for crystalline ErSc2Al at its relaxed geometry.

a = 4.508 Å, b = 4.508 Å, c = 4.552 Å
α = 90.00°, β = 90.00°, γ = 90.00°
Atoms (fractional coordinates):
Er: 0.000 0.000 0.000
Sc: 0.000 0.500 0.500
Sc: 0.500 0.000 0.500
Al: 0.500 0.500 0.000

Summary:
energy above the lowest structure with this stoichiometry	1.06	kJ per mole of atoms
electronic total energy	-5.460	eV/atom
total moment	0.00	μB per cell
volume	92.49	Å³/cell
formation enthalpy at 0 K	-0.872	eV/f.u.

[11]
## ErSc2Ru (PBE)

Data for crystalline ErSc2Ru at its relaxed geometry.

a = 7.150 Å, b = 8.540 Å, c = 5.947 Å
α = 90.00°, β = 90.00°, γ = 90.00°
Atoms (fractional coordinates):
Er: 0.036 0.250 0.123
Er: 0.464 0.750 0.623
Er: 0.536 0.250 0.377
Er: 0.964 0.750 0.877
Sc: 0.175 0.063 0.658
Sc: 0.175 0.437 0.658
Sc: 0.325 0.563 0.158
Sc: 0.325 0.937 0.158
Sc: 0.675 0.063 0.842
Sc: 0.675 0.437 0.842
Sc: 0.825 0.563 0.342
Sc: 0.825 0.937 0.342
Ru: 0.116 0.750 0.440
Ru: 0.384 0.250 0.940
Ru: 0.616 0.750 0.060
Ru: 0.884 0.250 0.560

Summary:
energy above the lowest structure with this stoichiometry	0.00	kJ per mole of atoms
electronic total energy	-6.983	eV/atom
total moment	0.03	μB per cell
volume	363.14	Å³/cell
formation enthalpy at 0 K	-1.432	eV/f.u.

[12]
## NaPuUSe4 (PBE)

Data for crystalline NaPuUSe4 at its relaxed geometry.

a = 8.551 Å, b = 8.551 Å, c = 8.551 Å
α = 120.41°, β = 119.87°, γ = 89.76°
Atoms (fractional coordinates):
Na: 0.373 0.123 0.250
Na: 0.627 0.877 0.750
Pu: 0.000 0.500 0.500
Pu: 0.500 0.500 0.000
U: 0.000 0.000 0.500
U: 0.000 0.500 0.000
Se: 0.213 0.741 0.472
Se: 0.231 0.259 0.972
Se: 0.232 0.252 0.520
Se: 0.232 0.712 0.980
Se: 0.768 0.288 0.020
Se: 0.768 0.748 0.480
Se: 0.769 0.741 0.028
Se: 0.787 0.259 0.528

Summary:
electronic total energy	-7.116	eV/atom
total moment	14.00	μB per cell
volume	441.14	Å³/cell
E_form (uncorrected)	-1.28	eV/atom